Entry 1:
SrPRu2: relaxed, PBE.

Unit cell a=7.923 b=7.923 c=7.923 alpha=156.05 beta=157.85 gamma=32.85
Fractional positions:
Ru (0.757, 0.257, 0.500)
Ru (0.096, 0.096, 0.000)
Sr (0.446, 0.446, 0.000)
P (0.201, 0.701, 0.500)

Calculated values
magnetization = 0.0 μB/cell
VASP energy = -6.375 eV per atom

Entry 2:
Pu3BiIr: relaxed, PBE.

Unit cell a=5.369 b=5.369 c=5.369 alpha=90.00 beta=90.00 gamma=90.00
Each line ends with the local moment (μB).
Fractional positions:
Ir (0.000, 0.000, 0.000)  -0.28
Pu (0.000, 0.500, 0.000)  5.45
Pu (0.500, 0.000, 0.000)  5.45
Pu (0.000, 0.000, 0.500)  5.45
Bi (0.500, 0.500, 0.500)  -0.18

Calculated values
magnetization = 17.1 μB/cell
VASP energy = -11.324 eV per atom